Entry from OQMD via LeMat-Bulk: crystalline Cs4Cu3Bi9S17 at its relaxed geometry (PBE).

Properties
The calculation puts the volume at 27.8 Å³/atom. The calculated total energy comes out at -279.1 eV for the cell shown.

```
data_Cs4Cu3Bi9S17
_chemical_formula_sum 'Cs8 Cu6 Bi18 S34'
_cell_length_a 20.1705
_cell_length_b 4.0761
_cell_length_c 22.4880
_cell_angle_alpha 90.00
_cell_angle_beta 96.83
_cell_angle_gamma 90.00
_symmetry_space_group_name_H-M 'P 1 21/m 1'
_symmetry_Int_Tables_number 11
_symmetry_space_group_name_Hall '-P 2yb'
loop_
_atom_site_label
_atom_site_fract_x
_atom_site_fract_y
_atom_site_fract_z
_atom_site_occupancy
Cs1 0.0081 0.2500 0.1070 1
Cs2 0.1802 0.2500 0.6537 1
Cs3 0.3805 0.7500 0.1523 1
Cs4 0.4013 0.7500 0.5541 1
Cu1 0.1418 0.7500 0.8204 1
Cu2 0.1847 0.7500 0.1060 1
Cu3 0.4932 0.2500 0.6904 1
Bi1 0.0253 0.7500 0.2999 1
Bi2 0.0749 0.2500 0.4705 1
Bi3 0.1863 0.2500 0.9904 1
Bi4 0.1959 0.2500 0.2419 1
Bi5 0.2242 0.7500 0.4079 1
Bi6 0.2721 0.2500 0.8569 1
Bi7 0.3861 0.2500 0.3514 1
Bi8 0.3950 0.7500 0.7551 1
Bi9 0.4253 0.7500 0.9527 1
S1 0.0158 0.2500 0.5763 1
S2 0.0583 0.7500 0.7393 1
S3 0.1029 0.7500 0.2078 1
S4 0.1074 0.7500 0.0217 1
S5 0.1275 0.2500 0.3566 1
S6 0.1344 0.2500 0.8732 1
S7 0.1677 0.7500 0.5120 1
S8 0.2337 0.2500 0.1332 1
S9 0.2474 0.7500 0.7739 1
S10 0.2833 0.7500 0.9519 1
S11 0.2878 0.7500 0.2931 1
S12 0.3104 0.2500 0.4475 1
S13 0.3698 0.2500 0.6749 1
S14 0.4124 0.2500 0.8558 1
S15 0.4347 0.2500 0.0361 1
S16 0.4601 0.7500 0.4042 1
S17 0.4734 0.2500 0.2586 1
```